No. 1
# Tm2Ni3P4Rh

Tm2Ni3P4Rh after structural relaxation (GGA-PBE, the Alexandria database).

The crystal system is tetragonal. The total magnetization comes out at 0.0 μB/f.u. The value obtained for the total energy is -6.509 eV/atom. The formation energy is -9.809 eV/f.u. As for the symmetry: P-4m2, No. 115.

Cell: 3.9925 3.9925 9.1474 Å, 90.00 90.00 90.00°
Closest atoms and distances in Å follow each position.
Fractional positions:
Tm 0.0000 0.5000 0.2410  8 P 2.97-3.03, 7 Ni 3.04-3.27, 2 Rh 3.10
Tm 0.5000 0.0000 0.7590  8 P 2.97-3.03, 7 Ni 3.04-3.27, 2 Rh 3.10
Ni 0.0000 0.5000 0.8833  5 P 2.23-2.26
Ni 0.5000 0.0000 0.1167  5 P 2.23-2.26
Ni 0.5000 0.5000 0.5000  4 P 2.37
P 0.0000 0.0000 0.0000  4 Ni 2.26
P 0.0000 0.5000 0.6395  3 Ni 2.23-2.37, 2 Rh 2.37
P 0.5000 0.0000 0.3605  3 Ni 2.23-2.37, 2 Rh 2.37
P 0.5000 0.5000 0.0000  4 Ni 2.26
Rh 0.0000 0.0000 0.5000  4 P 2.37

---

No. 2
# Er3TmPu2S6

Er3TmPu2S6 after structural relaxation (GGA-PBE, the Alexandria database).

The crystal system is monoclinic. The total magnetization comes out at 11.5 μB/f.u. The calculation puts the formation energy (no corrections) at -1.919 eV per atom. The value obtained for the total energy is -7.885 eV/atom. As for the symmetry: C2/m, No. 12.

Cell: 8.6992 8.6992 7.8083 Å, 103.09 103.09 25.74°
Closest atoms and distances in Å follow each position.
Fractional positions:
Er 0.0000 0.0000 0.0000  6 S 2.73-2.76
Er 0.3320 0.3320 0.6668  6 S 2.72-2.75
Er 0.6680 0.6680 0.3332  6 S 2.72-2.75
Tm 0.0000 0.0000 0.5000  6 S 2.73-2.74
Pu 0.3341 0.3341 0.1665  6 S 2.77-2.78
Pu 0.6659 0.6659 0.8335  6 S 2.77-2.78
S 0.1654 0.1654 0.0869  3 Er 2.72-2.73, 3 Pu 2.77-2.78
S 0.1655 0.1655 0.5772  3 Er 2.73-2.75, 1 Tm 2.73, 2 Pu 2.78
S 0.4971 0.4971 0.7470  3 Er 2.72-2.76, 2 Tm 2.74, 1 Pu 2.78
S 0.5029 0.5029 0.2530  3 Er 2.72-2.76, 2 Tm 2.74, 1 Pu 2.78
S 0.8345 0.8345 0.4228  3 Er 2.73-2.75, 1 Tm 2.73, 2 Pu 2.78
S 0.8346 0.8346 0.9131  3 Er 2.72-2.73, 3 Pu 2.77-2.78

---

No. 3
# GaOsF2

GaOsF2 after structural relaxation (GGA-PBE, the Alexandria database).

The crystal system is cubic. The total magnetization comes out at 2.8 μB/f.u. The calculation puts the formation energy (no corrections) at 0.069 eV per atom. The value obtained for the total energy is -4.431 eV/atom. As for the symmetry: Fm-3m, No. 225.

Cell: 6.0034 6.0034 6.0034 Å, 90.00 90.00 90.00°
Closest atoms and distances in Å follow each position.
Fractional positions:
Ga 0.0000 0.0000 0.0000  8 F 2.60
Ga 0.0000 0.5000 0.5000  8 F 2.60
Ga 0.5000 0.0000 0.5000  8 F 2.60
Ga 0.5000 0.5000 0.0000  8 F 2.60
Os 0.0000 0.0000 0.5000  8 F 2.60
Os 0.0000 0.5000 0.0000  8 F 2.60
Os 0.5000 0.0000 0.0000  8 F 2.60
Os 0.5000 0.5000 0.5000  8 F 2.60
F 0.2500 0.2500 0.2500  4 Os 2.60, 4 Ga 2.60
F 0.2500 0.2500 0.7500  4 Ga 2.60, 4 Os 2.60
F 0.2500 0.7500 0.2500  4 Ga 2.60, 4 Os 2.60
F 0.2500 0.7500 0.7500  4 Os 2.60, 4 Ga 2.60
F 0.7500 0.2500 0.2500  4 Ga 2.60, 4 Os 2.60
F 0.7500 0.2500 0.7500  4 Os 2.60, 4 Ga 2.60
F 0.7500 0.7500 0.2500  4 Os 2.60, 4 Ga 2.60
F 0.7500 0.7500 0.7500  4 Ga 2.60, 4 Os 2.60

---

No. 4
# Sr2IrN2

Sr2IrN2 after structural relaxation (GGA-PBE, the Alexandria database).

The crystal system is tetragonal. The total magnetization comes out at 0.9 μB/f.u. The calculation puts the formation energy (no corrections) at 0.124 eV per atom. The value obtained for the total energy is -5.651 eV/atom. As for the symmetry: P4/mbm, No. 127.

Cell: 6.3951 6.3951 3.8756 Å, 90.00 90.00 90.00°
Closest atoms and distances in Å follow each position.
Fractional positions:
Sr 0.1549 0.3451 0.0000  2 N 2.50
Sr 0.3451 0.8451 0.0000  2 N 2.50
Sr 0.6549 0.1549 0.0000  2 N 2.50
Sr 0.8451 0.6549 0.0000  2 N 2.50
Ir 0.0000 0.0000 0.5000  4 N 2.37
Ir 0.5000 0.5000 0.5000  4 N 2.37
N 0.1706 0.6706 0.5000  2 Ir 2.37, 2 Sr 2.50
N 0.3294 0.1706 0.5000  2 Ir 2.37, 2 Sr 2.50
N 0.6706 0.8294 0.5000  2 Ir 2.37, 2 Sr 2.50
N 0.8294 0.3294 0.5000  2 Ir 2.37, 2 Sr 2.50

---

No. 5
# RbNbTe2

RbNbTe2 after structural relaxation (GGA-PBE, the Alexandria database).

The crystal system is orthorhombic. The total magnetization comes out at 0.0 μB/f.u. The calculation puts the formation energy (no corrections) at -0.439 eV per atom. The value obtained for the total energy is -4.769 eV/atom. As for the symmetry: Amm2, No. 38.

Cell: 3.6836 3.8066 17.0917 Å, 90.00 90.00 90.00°
Closest atoms and distances in Å follow each position.
Fractional positions:
Rb 0.0000 0.0000 0.0000  8 Te 3.60-3.84, 4 Rb 3.68-3.81
Rb 0.0000 0.5000 0.5000  8 Te 3.60-3.84, 4 Rb 3.68-3.81
Nb 0.0000 0.0000 0.7620  6 Te 2.75-2.94
Nb 0.0000 0.5000 0.2620  6 Te 2.75-2.94
Te 0.5000 0.0000 0.3372  4 Nb 2.94
Te 0.5000 0.0000 0.6428  2 Nb 2.75
Te 0.5000 0.5000 0.1428  2 Nb 2.75
Te 0.5000 0.5000 0.8372  4 Nb 2.94

---

No. 6
# BaCaDy2F10

BaCaDy2F10 after structural relaxation (GGA-PBE, the Alexandria database).

The crystal system is monoclinic. The total magnetization comes out at 0.0 μB/f.u. The calculation puts the formation energy (no corrections) at -3.621 eV per atom. The value obtained for the total energy is -5.896 eV/atom. As for the symmetry: C2/m, No. 12.

Cell: 5.1952 5.1952 7.2825 Å, 92.15 92.15 97.14°
Closest atoms and distances in Å follow each position.
Fractional positions:
Ba 0.0000 0.0000 0.0000  10 F 2.60-2.90
Ca 0.5000 0.5000 0.0000  6 F 2.34-2.60
Dy 0.0000 0.5000 0.5000  4 F 2.26-2.29
Dy 0.5000 0.0000 0.5000  4 F 2.26-2.29
F 0.0000 0.0000 0.5000  6 F 2.44-2.53, 4 Dy 2.60
F 0.0000 0.5000 0.0000  2 Ba 2.60, 2 Ca 2.60, 6 F 2.64-2.87
F 0.2393 0.7417 0.2950  2 Dy 2.26-2.29, 2 F 2.44-2.46
F 0.2583 0.7607 0.7050  2 Dy 2.26-2.29, 2 F 2.44-2.46
F 0.2743 0.2743 0.7467  1 Ca 2.34, 4 F 2.44-2.57
F 0.5000 0.0000 0.0000  2 Ba 2.60, 2 Ca 2.60, 6 F 2.64-2.87
F 0.5000 0.5000 0.5000  6 F 2.44-2.46, 4 Dy 2.60
F 0.7257 0.7257 0.2533  1 Ca 2.34, 4 F 2.44-2.57
F 0.7417 0.2393 0.2950  2 Dy 2.26-2.29, 2 F 2.44-2.46
F 0.7607 0.2583 0.7050  2 Dy 2.26-2.29, 2 F 2.44-2.46

---

No. 7
# Ta2Mn

Ta2Mn after structural relaxation (GGA-PBE, the Alexandria database).

The crystal system is trigonal. The total magnetization comes out at 0.3 μB/f.u. The value obtained for the total energy is -10.746 eV/atom. The formation energy is 0.636 eV/f.u. As for the symmetry: P-3m1, No. 164.

Cell: 3.0043 3.0043 6.2486 Å, 90.00 90.00 120.00°
Closest atoms and distances in Å follow each position.
Fractional positions:
Ta 0.3333 0.6667 0.3096  3 Mn 2.60
Ta 0.6667 0.3333 0.6904  3 Mn 2.60
Mn 0.0000 0.0000 0.0000  6 Ta 2.60

---

No. 8
# Sm2PuNi9

Sm2PuNi9 after structural relaxation (GGA-PBE, the Alexandria database).

The crystal system is trigonal. The total magnetization comes out at 3.7 μB/f.u. The value obtained for the total energy is -6.606 eV/atom. The formation energy is -3.471 eV/f.u. As for the symmetry: R-3m, No. 166.

Cell: 8.6896 8.6896 8.6896 Å, 33.39 33.39 33.39°
Closest atoms and distances in Å follow each position.
Fractional positions:
Sm 0.1382 0.1382 0.1382  12 Ni 2.87-3.16, 3 Sm 3.20
Sm 0.8618 0.8618 0.8618  12 Ni 2.87-3.16, 3 Sm 3.20
Pu 0.0000 0.0000 0.0000  18 Ni 2.88-3.19
Ni 0.0813 0.5807 0.5807  7 Ni 2.45-2.55
Ni 0.3328 0.3328 0.3328  6 Ni 2.45-2.47
Ni 0.4193 0.4193 0.9187  7 Ni 2.45-2.55
Ni 0.4193 0.9187 0.4193  7 Ni 2.45-2.55
Ni 0.5000 0.5000 0.5000  6 Ni 2.55
Ni 0.5807 0.0813 0.5807  7 Ni 2.45-2.55
Ni 0.5807 0.5807 0.0813  7 Ni 2.45-2.55
Ni 0.6672 0.6672 0.6672  6 Ni 2.45-2.47
Ni 0.9187 0.4193 0.4193  7 Ni 2.45-2.55

---

No. 9
# TlInPb

TlInPb after structural relaxation (GGA-PBE, the Alexandria database).

The crystal system is orthorhombic. The total magnetization comes out at 0.0 μB/f.u. The value obtained for the total energy is -2.913 eV/atom. The formation energy is 0.073 eV/f.u. As for the symmetry: Fmm2, No. 42.

Cell: 3.6409 5.6843 17.5237 Å, 90.00 90.00 90.00°
Closest atoms and distances in Å follow each position.
Fractional positions:
Tl 0.0000 0.0000 0.0000  6 Tl 3.38-3.64, 2 In 3.45, 2 Pb 3.53
Tl 0.0000 0.5000 0.5000  6 Tl 3.38-3.64, 2 In 3.45, 2 Pb 3.53
Tl 0.5000 0.0000 0.5000  6 Tl 3.38-3.64, 2 In 3.45, 2 Pb 3.53
Tl 0.5000 0.5000 0.0000  6 Tl 3.38-3.64, 2 In 3.45, 2 Pb 3.53
In 0.0000 0.0000 0.6670  2 Pb 3.35, 6 In 3.38-3.64, 2 Tl 3.45
In 0.0000 0.5000 0.1670  2 Pb 3.35, 6 In 3.38-3.64, 2 Tl 3.45
In 0.5000 0.0000 0.1670  2 Pb 3.35, 6 In 3.38-3.64, 2 Tl 3.45
In 0.5000 0.5000 0.6670  2 Pb 3.35, 6 In 3.38-3.64, 2 Tl 3.45
Pb 0.0000 0.0000 0.3277  2 In 3.35, 6 Pb 3.38-3.64, 2 Tl 3.53
Pb 0.0000 0.5000 0.8277  2 In 3.35, 6 Pb 3.38-3.64, 2 Tl 3.53
Pb 0.5000 0.0000 0.8277  2 In 3.35, 6 Pb 3.38-3.64, 2 Tl 3.53
Pb 0.5000 0.5000 0.3277  2 In 3.35, 6 Pb 3.38-3.64, 2 Tl 3.53

---

No. 10
# La2Pm3NdSm6

La2Pm3NdSm6 after structural relaxation (GGA-PBE, the Alexandria database).

The crystal system is monoclinic. The total magnetization comes out at 0.0 μB/f.u. The value obtained for the total energy is -4.751 eV/atom. The formation energy is 0.179 eV/f.u. As for the symmetry: C2/m, No. 12.

Cell: 6.3501 6.3501 12.1109 Å, 95.04 95.04 120.03°
Closest atoms and distances in Å follow each position.
Fractional positions:
La 0.1667 0.8333 0.0000  3 La 3.66-3.67, 3 Nd 3.67, 6 Sm 3.68
La 0.8333 0.1667 0.0000  3 La 3.66-3.67, 3 Nd 3.67, 6 Sm 3.68
Pm 0.0000 0.0000 0.5000  6 Sm 3.63-3.64, 6 Pm 3.66-3.67
Pm 0.3336 0.6664 0.5000  6 Sm 3.63-3.64, 6 Pm 3.66-3.67
Pm 0.6664 0.3336 0.5000  6 Sm 3.63-3.64, 6 Pm 3.66-3.67
Nd 0.5000 0.5000 0.0000  6 La 3.67, 6 Sm 3.68
Sm 0.0828 0.4157 0.7478  3 Pm 3.63-3.64, 6 Sm 3.66-3.67, 1 Nd 3.68, 2 La 3.68
Sm 0.2514 0.2514 0.2521  3 Pm 3.63-3.64, 6 Sm 3.66-3.67, 1 Nd 3.68, 2 La 3.68
Sm 0.4157 0.0828 0.7478  3 Pm 3.63-3.64, 6 Sm 3.66-3.67, 1 Nd 3.68, 2 La 3.68
Sm 0.5843 0.9172 0.2522  3 Pm 3.63-3.64, 6 Sm 3.66-3.67, 1 Nd 3.68, 2 La 3.68
Sm 0.7486 0.7486 0.7479  3 Pm 3.63-3.64, 6 Sm 3.66-3.67, 1 Nd 3.68, 2 La 3.68
Sm 0.9172 0.5843 0.2522  3 Pm 3.63-3.64, 6 Sm 3.66-3.67, 1 Nd 3.68, 2 La 3.68

---

No. 11
# Pm3ErZn8

Pm3ErZn8 after structural relaxation (GGA-PBE, the Alexandria database).

The crystal system is trigonal. The total magnetization comes out at 0.0 μB/f.u. The value obtained for the total energy is -2.742 eV/atom. The formation energy is -3.897 eV/f.u. As for the symmetry: R3m, No. 160.

Cell: 9.5423 9.5423 9.5423 Å, 33.69 33.69 33.69°
Closest atoms and distances in Å follow each position.
Fractional positions:
Pm 0.0000 0.0000 0.0000  12 Zn 3.24-3.26, 4 Pm 3.37-3.38
Pm 0.1248 0.1248 0.1248  12 Zn 3.22-3.24, 1 Pm 3.37, 3 Er 3.39
Pm 0.6255 0.6255 0.6255  12 Zn 3.24-3.26, 1 Er 3.36, 3 Pm 3.38
Er 0.5008 0.5008 0.5008  12 Zn 3.22-3.25, 4 Pm 3.36-3.39
Zn 0.0625 0.0625 0.5604  6 Zn 2.74-2.78
Zn 0.0625 0.5604 0.0625  6 Zn 2.74-2.78
Zn 0.0656 0.5628 0.5628  6 Zn 2.74-2.78
Zn 0.3130 0.3130 0.3130  6 Zn 2.77-2.78
Zn 0.5604 0.0625 0.0625  6 Zn 2.74-2.78
Zn 0.5628 0.0656 0.5628  6 Zn 2.74-2.78
Zn 0.5628 0.5628 0.0656  6 Zn 2.74-2.78
Zn 0.8126 0.8126 0.8126  6 Zn 2.74